Entry 1:
The following is a DFT calculation (PBE) of a relaxed structure of Pu2Br3Cl2.

Output
DFT total energy, eV per atom: -7.01
Magnetization, Bohr magnetons per cell: 22.00
Formation energy from raw total energies, eV per atom: -1.675

Cell: 13.1259 4.1221 7.9928 Å, 90.00 107.70 90.00°
Space group C2/m (No. 12)
Unique sites:
Pu 0.1813 0.0000 0.2093 x4
Br 0.0000 0.5000 0.0000 x2
Br 0.1303 0.5000 0.4482 x4
Cl 0.1822 0.0000 0.8357 x4

Entry 2:
The following is a DFT calculation (PBE) of a relaxed structure of Ho2MnAl2Co5.

Output
DFT total energy, eV per atom: -6.26
Energy of formation, eV/atom: -0.13
Magnetization, Bohr magnetons per cell: 11.38

Cell: 9.5663 9.5663 3.2398 Å, 90.00 90.00 90.00°
Space group P4/mbm (No. 127)
Unique sites:
Ho 0.1744 0.3256 0.0000 x4
Mn 0.0000 0.0000 0.0000 x2
Al 0.1244 0.6244 0.0000 x4
Co 0.0000 0.5000 0.5000 x2
Co 0.0591 0.8014 0.5000 x8

Entry 3:
The following is a DFT calculation (PBE) of a relaxed structure of Tm3Th2In2.

Output
DFT total energy, eV per atom: -4.91
Energy of formation, eV/atom: -0.09
Magnetization, Bohr magnetons per cell: 0.00

Cell: 4.6669 24.7361 3.4630 Å, 90.00 90.00 90.00°
Space group Cmmm (No. 65)
Unique sites:
Tm 0.0000 0.0000 0.0000 x2
Tm 0.0000 0.1352 0.0000 x4
Th 0.0000 0.2897 0.5000 x4
In 0.0000 0.4308 0.5000 x4

Entry 4:
The following is a DFT calculation (PBE) of a relaxed structure of TcMoH2.

Output
DFT total energy, eV per atom: -6.85
Magnetization, Bohr magnetons per cell: 0.00

Cell: 4.1775 4.1775 8.4161 Å, 90.00 90.00 90.00°
Space group I-42d (No. 122)
Unique sites:
Tc 0.0000 0.0000 0.0000 x4
Mo 0.0000 0.0000 0.5000 x4
H 0.2402 0.2500 0.1250 x8